This record from Alexandria via LeMat-Bulk describes crystalline La2PtCl at its relaxed geometry. The functional is PBEsol.

Cell lengths 4.134, 4.134, 6.022 Å; angles 90.00, 90.00, 90.00 degrees
Sites, in units of the cell vectors:
1 La 0.500 0.500 0.000
2 La 0.000 0.000 0.500
3 Pt 0.000 0.000 0.000
4 Cl 0.500 0.500 0.500

Calculated density, g/cm3: 8.202
Formation energy without anion corrections, eV/atom: -1.370
M_tot, μB/f.u.: 0.0

***

This record from Alexandria via LeMat-Bulk describes crystalline La2PtCl at its relaxed geometry. The functional is PBEsol.

Cell lengths 3.449, 5.177, 5.177 Å; angles 90.15, 90.19, 90.19 degrees
Sites, in units of the cell vectors:
1 Cl 0.500 0.000 0.000
2 Pt 0.500 0.500 0.500
3 La 0.000 0.000 0.500
4 La 0.000 0.500 0.000

Calculated density, g/cm3: 9.133
Formation energy without anion corrections, eV/atom: -1.152
M_tot, μB/f.u.: 0.0

***

This record from Alexandria via LeMat-Bulk describes crystalline La2PtCl at its relaxed geometry. The functional is PBEsol.

Cell lengths 4.190, 4.190, 7.651 Å; angles 74.11, 74.11, 60.00 degrees
Sites, in units of the cell vectors:
1 La 0.240 0.240 0.281
2 La 0.760 0.760 0.719
3 Pt 0.500 0.500 0.500
4 Cl 0.000 0.000 0.000

Calculated density, g/cm3: 7.648
Formation energy without anion corrections, eV/atom: -1.384
M_tot, μB/f.u.: 0.0